## A
Here is an optimized crystal structure of Cd3GaI from Alexandria via LeMat-Bulk. Energies are from GGA-PBE.

Lattice parameters (Å, degrees): 6.1479 6.1479 6.1479 90.00 90.00 90.00
Space group Pm-3m (No. 221)
Inequivalent atoms, fractional coordinates:
Cd1 0.0000 0.0000 0.5000 [3 per cell]
Ga1 0.5000 0.5000 0.5000 [1 per cell]
I1 0.0000 0.0000 0.0000 [1 per cell]

Properties
* V: 46.47 A^3/atom
* crystal system: cubic



## B
Here is an optimized crystal structure of Cd3GaI from Alexandria via LeMat-Bulk. Energies are from GGA-PBE.

Lattice parameters (Å, degrees): 5.3041 5.3041 5.3041 90.00 90.00 90.00
Space group Pm-3m (No. 221)
Inequivalent atoms, fractional coordinates:
Cd1 0.0000 0.0000 0.5000 [3 per cell]
Ga1 0.0000 0.0000 0.0000 [1 per cell]
I1 0.5000 0.5000 0.5000 [1 per cell]

Properties
* V: 29.85 A^3/atom
* crystal system: cubic



Q: Which of them is the least stable? A: A.



## A
Here is an optimized crystal structure of CdGaI2N from Alexandria via LeMat-Bulk. Energies are from GGA-PBE.

Lattice parameters (Å, degrees): 5.9085 5.9085 3.6961 90.00 90.00 90.00
Space group P4/mmm (No. 123)
Inequivalent atoms, fractional coordinates:
Cd1 0.0000 0.0000 0.0000 [1 per cell]
Ga1 0.5000 0.5000 0.5000 [1 per cell]
I1 0.0000 0.5000 0.5000 [2 per cell]
N1 0.5000 0.5000 0.0000 [1 per cell]

Properties
* V: 25.81 A^3/atom
* crystal system: tetragonal



## B
Here is an optimized crystal structure of CdGaI2N from Alexandria via LeMat-Bulk. Energies are from GGA-PBE.

Lattice parameters (Å, degrees): 6.1384 6.1384 4.3510 90.00 90.00 90.00
Space group P4/mmm (No. 123)
Inequivalent atoms, fractional coordinates:
Cd1 0.0000 0.0000 0.0000 [1 per cell]
Ga1 0.5000 0.5000 0.5000 [1 per cell]
I1 0.0000 0.5000 0.0000 [2 per cell]
N1 0.0000 0.0000 0.5000 [1 per cell]

Properties
* V: 32.79 A^3/atom
* crystal system: tetragonal



Q: Which of them is the least stable? A: B.



## A
Here is an optimized crystal structure of CdGaTeI2 from Alexandria via LeMat-Bulk. Energies are from GGA-PBE.

Lattice parameters (Å, degrees): 5.9361 5.9361 5.6526 90.00 90.00 90.00
Space group P4/mmm (No. 123)
Inequivalent atoms, fractional coordinates:
Cd1 0.0000 0.0000 0.0000 [1 per cell]
Ga1 0.5000 0.5000 0.5000 [1 per cell]
Te1 0.0000 0.0000 0.5000 [1 per cell]
I1 0.0000 0.5000 0.0000 [2 per cell]

Properties
* V: 39.84 A^3/atom
* crystal system: tetragonal



## B
Here is an optimized crystal structure of CdGaTeI2 from Alexandria via LeMat-Bulk. Energies are from GGA-PBE.

Lattice parameters (Å, degrees): 5.5866 5.5866 5.5995 90.00 90.00 90.00
Space group P4/mmm (No. 123)
Inequivalent atoms, fractional coordinates:
Cd1 0.0000 0.0000 0.0000 [1 per cell]
Ga1 0.5000 0.5000 0.5000 [1 per cell]
Te1 0.5000 0.5000 0.0000 [1 per cell]
I1 0.0000 0.5000 0.5000 [2 per cell]

Properties
* V: 34.95 A^3/atom
* crystal system: tetragonal



Q: Which of them is the least stable? A: B.



## A
Here is an optimized crystal structure of Cd3InGa3 from Alexandria via LeMat-Bulk. Energies are from GGA-PBE.

Lattice parameters (Å, degrees): 7.6003 7.6003 7.6003 90.00 90.00 90.00
Space group Pm-3n (No. 223)
Inequivalent atoms, fractional coordinates:
Cd1 0.0000 0.2500 0.5000 [6 per cell]
In1 0.0000 0.0000 0.0000 [2 per cell]
Ga1 0.0000 0.5000 0.2500 [6 per cell]

Properties
* V: 31.36 A^3/atom
* crystal system: cubic



## B
Here is an optimized crystal structure of Cd3InGa3 from Alexandria via LeMat-Bulk. Energies are from GGA-PBE.

Lattice parameters (Å, degrees): 8.0349 8.0349 16.5890 90.00 90.00 120.00
Space group R-3 (No. 148, hexagonal axes)
Inequivalent atoms, fractional coordinates:
Cd1 0.0464 0.2394 0.4178 [18 per cell]
In1 0.0000 0.0000 0.2461 [6 per cell]
Ga1 0.0420 0.2268 0.9210 [18 per cell]

Properties
* V: 22.08 A^3/atom
* crystal system: trigonal



Q: Which of them is the least stable? A: A.



## A
Here is an optimized crystal structure of Cd2In3Ga4 from Alexandria via LeMat-Bulk. Energies are from GGA-PBE.

Lattice parameters (Å, degrees): 3.1800 3.1800 23.7314 90.00 90.00 120.00
Space group P3m1 (No. 156)
Inequivalent atoms, fractional coordinates:
Cd1 0.0000 0.0000 0.0000 [1 per cell]
Cd2 0.0000 0.0000 0.2375 [1 per cell]
In1 0.0000 0.0000 0.4523 [1 per cell]
In2 0.6667 0.3333 0.1194 [1 per cell]
In3 0.6667 0.3333 0.7739 [1 per cell]
Ga1 0.0000 0.0000 0.6631 [1 per cell]
Ga2 0.0000 0.0000 0.8809 [1 per cell]
Ga3 0.6667 0.3333 0.3418 [1 per cell]
Ga4 0.6667 0.3333 0.5639 [1 per cell]

Properties
* V: 23.09 A^3/atom
* crystal system: trigonal



## B
Here is an optimized crystal structure of Cd2In3Ga4 from Alexandria via LeMat-Bulk. Energies are from GGA-PBE.

Lattice parameters (Å, degrees): 5.2660 5.2878 8.9075 73.48 88.02 60.91
Space group P-1 (No. 2)
Inequivalent atoms, fractional coordinates:
Cd1 0.1696 0.4532 0.2345 [2 per cell]
In1 0.1790 0.7837 0.8892 [2 per cell]
In2 0.5000 0.5000 0.5000 [1 per cell]
Ga1 0.1794 0.1177 0.5593 [2 per cell]
Ga2 0.4961 0.1503 0.8355 [2 per cell]

Properties
* V: 22.91 A^3/atom
* crystal system: triclinic



Q: Which of them is the least stable? A: A.



## A
Here is an optimized crystal structure of Cd2InGa6 from Alexandria via LeMat-Bulk. Energies are from GGA-PBE.

Lattice parameters (Å, degrees): 6.7681 11.8117 4.7996 90.00 91.94 90.00
Space group C2/m (No. 12)
Inequivalent atoms, fractional coordinates:
Cd1 0.1470 0.0000 0.3022 [4 per cell]
In1 0.0000 0.5000 0.0000 [2 per cell]
Ga1 0.0000 0.3445 0.5000 [4 per cell]
Ga2 0.1668 0.1747 0.8127 [8 per cell]

Properties
* V: 21.30 A^3/atom
* crystal system: monoclinic



## B
Here is an optimized crystal structure of Cd2InGa6 from Alexandria via LeMat-Bulk. Energies are from GGA-PBE.

Lattice parameters (Å, degrees): 8.6575 8.6575 2.9388 90.00 90.00 120.00
Space group P-31m (No. 162)
Inequivalent atoms, fractional coordinates:
Cd1 0.3333 0.6667 0.0000 [2 per cell]
In1 0.0000 0.0000 0.5000 [1 per cell]
Ga1 0.0000 0.3414 0.5855 [6 per cell]

Properties
* V: 21.20 A^3/atom
* crystal system: trigonal



Q: Which of them is the least stable? A: B.



## A
Here is an optimized crystal structure of CdIn4Ga from Alexandria via LeMat-Bulk. Energies are from GGA-PBE.

Lattice parameters (Å, degrees): 8.7309 8.7309 8.7309 90.00 90.00 90.00
Space group F-43m (No. 216)
Inequivalent atoms, fractional coordinates:
Cd1 0.0000 0.0000 0.0000 [4 per cell]
In1 0.1251 0.1251 0.3749 [16 per cell]
Ga1 0.2500 0.2500 0.7500 [4 per cell]

Properties
* V: 27.73 A^3/atom
* crystal system: cubic



## B
Here is an optimized crystal structure of CdIn4Ga from Alexandria via LeMat-Bulk. Energies are from GGA-PBE.

Lattice parameters (Å, degrees): 8.0104 4.8331 8.9375 90.00 108.14 90.00
Space group C2/m (No. 12)
Inequivalent atoms, fractional coordinates:
Cd1 0.0000 0.0000 0.0000 [2 per cell]
In1 0.1105 0.5000 0.8519 [4 per cell]
In2 0.1158 0.0000 0.3673 [4 per cell]
Ga1 0.0000 0.5000 0.5000 [2 per cell]

Properties
* V: 27.40 A^3/atom
* crystal system: monoclinic



## C
Here is an optimized crystal structure of CdIn4Ga from Alexandria via LeMat-Bulk. Energies are from GGA-PBE.

Lattice parameters (Å, degrees): 9.2290 6.5126 10.6051 90.00 105.97 90.00
Space group C2/c (No. 15)
Inequivalent atoms, fractional coordinates:
Cd1 0.2500 0.2500 0.0000 [4 per cell]
In1 0.0737 0.2197 0.4629 [8 per cell]
In2 0.1771 0.4935 0.7374 [8 per cell]
Ga1 0.0000 0.0953 0.7500 [4 per cell]

Properties
* V: 25.53 A^3/atom
* crystal system: monoclinic



Q: Which of them is the least stable? A: A.



## A
Here is an optimized crystal structure of Cd3In3Ga2 from Alexandria via LeMat-Bulk. Energies are from GGA-PBE.

Lattice parameters (Å, degrees): 5.5147 5.5584 7.0604 109.06 99.06 105.49
Space group P-1 (No. 2)
Inequivalent atoms, fractional coordinates:
Cd1 0.0000 0.0000 0.0000 [1 per cell]
Cd2 0.1160 0.6226 0.2471 [2 per cell]
In1 0.3741 0.8606 0.7260 [2 per cell]
In2 0.5000 0.5000 0.0000 [1 per cell]
Ga1 0.2232 0.2375 0.4879 [2 per cell]

Properties
* V: 23.74 A^3/atom
* crystal system: triclinic



## B
Here is an optimized crystal structure of Cd3In3Ga2 from Alexandria via LeMat-Bulk. Energies are from GGA-PBE.

Lattice parameters (Å, degrees): 4.5603 4.5910 9.3691 99.32 102.16 90.37
Space group P-1 (No. 2)
Inequivalent atoms, fractional coordinates:
Cd1 0.0000 0.0000 0.0000 [1 per cell]
Cd2 0.3522 0.8460 0.7336 [2 per cell]
In1 0.1432 0.6581 0.2660 [2 per cell]
In2 0.5000 0.5000 0.0000 [1 per cell]
Ga1 0.2532 0.2509 0.4990 [2 per cell]

Properties
* V: 23.63 A^3/atom
* crystal system: triclinic



Q: Which of them is the least stable? A: A.



## A
Here is an optimized crystal structure of Cd8InGa2 from Alexandria via LeMat-Bulk. Energies are from GGA-PBE.

Lattice parameters (Å, degrees): 8.6612 12.7113 5.8835 90.00 125.98 90.00
Space group C2/m (No. 12)
Inequivalent atoms, fractional coordinates:
Cd1 0.0000 0.2342 0.0000 [4 per cell]
Cd2 0.0969 0.5000 0.8381 [4 per cell]
Cd3 0.2015 0.1168 0.5866 [8 per cell]
In1 0.0000 0.0000 0.0000 [2 per cell]
Ga1 0.0000 0.3091 0.5000 [4 per cell]

Properties
* V: 23.83 A^3/atom
* crystal system: monoclinic



## B
Here is an optimized crystal structure of Cd8InGa2 from Alexandria via LeMat-Bulk. Energies are from GGA-PBE.

Lattice parameters (Å, degrees): 7.8781 13.5066 5.0429 90.00 99.87 90.00
Space group C2/m (No. 12)
Inequivalent atoms, fractional coordinates:
Cd1 0.0000 0.2341 0.0000 [4 per cell]
Cd2 0.1128 0.5000 0.7990 [4 per cell]
Cd3 0.1959 0.1159 0.6193 [8 per cell]
In1 0.0000 0.0000 0.0000 [2 per cell]
Ga1 0.0000 0.3109 0.5000 [4 per cell]

Properties
* V: 24.03 A^3/atom
* crystal system: monoclinic



Q: Which of them is the least stable? A: B.



## A
Here is an optimized crystal structure of CdInGa3 from Alexandria via LeMat-Bulk. Energies are from GGA-PBE.

Lattice parameters (Å, degrees): 11.3575 5.2654 9.1644 90.00 127.18 90.00
Space group C2/m (No. 12)
Inequivalent atoms, fractional coordinates:
Cd1 0.0028 0.0000 0.1852 [4 per cell]
In1 0.1220 0.5000 0.4276 [4 per cell]
Ga1 0.1262 0.5000 0.0185 [4 per cell]
Ga2 0.1441 0.0000 0.6245 [4 per cell]
Ga3 0.2223 0.5000 0.8133 [4 per cell]

Properties
* V: 21.83 A^3/atom
* crystal system: monoclinic



## B
Here is an optimized crystal structure of CdInGa3 from Alexandria via LeMat-Bulk. Energies are from GGA-PBE.

Lattice parameters (Å, degrees): 5.2022 5.2022 5.2022 90.00 90.00 90.00
Space group Pm-3m (No. 221)
Inequivalent atoms, fractional coordinates:
Cd1 0.0000 0.0000 0.0000 [1 per cell]
In1 0.5000 0.5000 0.5000 [1 per cell]
Ga1 0.0000 0.0000 0.5000 [3 per cell]

Properties
* V: 28.16 A^3/atom
* crystal system: cubic



Q: Which of them is the least stable? A: B.



## A
Here is an optimized crystal structure of Cd2In5Ga4 from Alexandria via LeMat-Bulk. Energies are from GGA-PBE.

Lattice parameters (Å, degrees): 22.2288 3.1039 7.9060 90.00 97.19 90.00
Space group C2/m (No. 12)
Inequivalent atoms, fractional coordinates:
Cd1 0.2446 0.0000 0.1634 [4 per cell]
In1 0.0000 0.0000 0.5000 [2 per cell]
In2 0.1135 0.5000 0.8284 [4 per cell]
In3 0.1764 0.5000 0.4838 [4 per cell]
Ga1 0.0172 0.5000 0.1703 [4 per cell]
Ga2 0.1180 0.0000 0.1736 [4 per cell]

Properties
* V: 24.60 A^3/atom
* crystal system: monoclinic



## B
Here is an optimized crystal structure of Cd2In5Ga4 from Alexandria via LeMat-Bulk. Energies are from GGA-PBE.

Lattice parameters (Å, degrees): 3.4207 9.9745 15.7602 90.00 90.00 90.00
Space group Immm (No. 71)
Inequivalent atoms, fractional coordinates:
Cd1 0.0000 0.0000 0.1690 [4 per cell]
In1 0.0000 0.3252 0.1840 [8 per cell]
In2 0.0000 0.5000 0.5000 [2 per cell]
Ga1 0.0000 0.0000 0.4198 [4 per cell]
Ga2 0.0000 0.2588 0.0000 [4 per cell]

Properties
* V: 24.44 A^3/atom
* crystal system: orthorhombic



Q: Which of them is the least stable? A: B.